(1)
The following is a DFT calculation (GGA-PBEsol) of crystalline Nd5Mg at its relaxed geometry.

The structure in POSCAR format:
```
Nd5Mg
1.0
5.759 0.000 0.000
0.000 1.824 9.000
0.000 -1.824 9.000
Nd Mg
5 1
direct
0.000 0.000 0.000
0.000 0.324 0.324
0.500 0.123 0.123
0.500 0.455 0.455
0.500 0.783 0.783
0.000 0.663 0.663
```

Output
**ΔE to the lowest computed polymorph**: 18 meV per atom
**DFT formation energy**: 0.0152 eV/atom

***

(2)
The following is a DFT calculation (GGA-PBEsol) of crystalline Nd5Mg at its relaxed geometry.

The structure in POSCAR format:
```
Nd5Mg
1.0
3.106 1.793 5.627
-3.106 1.793 5.627
0.000 -3.587 5.627
Nd Mg
5 1
direct
0.000 0.631 0.369
0.159 0.159 0.159
0.369 0.000 0.631
0.631 0.369 0.000
0.841 0.841 0.841
0.500 0.500 0.500
```

Output
**ΔE to the lowest computed polymorph**: 0 meV per atom
**DFT formation energy**: -0.0027 eV/atom

***

(3)
The following is a DFT calculation (GGA-PBEsol) of crystalline Nd3Mg at its relaxed geometry.

The structure in POSCAR format:
```
Nd3Mg
1.0
-2.455 2.455 4.988
2.455 -2.455 4.988
2.455 2.455 -4.988
Nd Mg
3 1
direct
0.000 0.000 0.000
0.250 0.750 0.500
0.750 0.250 0.500
0.500 0.500 0.000
```

Output
**DFT formation energy**: -0.0181 eV/atom

***

(4)
The following is a DFT calculation (GGA-PBEsol) of crystalline Nd4MgNi at its relaxed geometry.

The structure in POSCAR format:
```
Nd4MgNi
1.0
0.000 6.889 6.889
6.889 0.000 6.889
6.889 6.889 0.000
Nd Mg Ni
16 4 4
direct
0.060 0.060 0.440
0.060 0.440 0.060
0.060 0.440 0.440
0.187 0.187 0.813
0.187 0.813 0.187
0.187 0.813 0.813
0.214 0.595 0.595
0.440 0.060 0.060
0.440 0.060 0.440
0.440 0.440 0.060
0.595 0.214 0.595
0.595 0.595 0.214
0.595 0.595 0.595
0.813 0.187 0.187
0.813 0.187 0.813
0.813 0.813 0.187
0.512 0.829 0.829
0.829 0.512 0.829
0.829 0.829 0.512
0.829 0.829 0.829
0.392 0.392 0.392
0.392 0.392 0.823
0.392 0.823 0.392
0.823 0.392 0.392
```

Output
**DFT formation energy**: -0.1519 eV/atom

***

(5)
The following is a DFT calculation (GGA-PBEsol) of crystalline Nd2MgPtO6 at its relaxed geometry.

The structure in POSCAR format:
```
Nd2MgPtO6
1.0
5.433 0.000 0.000
0.000 5.694 0.000
-5.398 0.000 7.790
Nd Mg Pt O
4 2 2 12
direct
0.233 0.063 0.250
0.233 0.437 0.750
0.767 0.563 0.250
0.767 0.937 0.750
0.500 0.000 0.000
0.500 0.500 0.500
0.000 0.000 0.500
0.000 0.500 0.000
0.144 0.205 0.949
0.144 0.295 0.449
0.248 0.701 0.950
0.248 0.799 0.450
0.345 0.029 0.748
0.345 0.471 0.248
0.655 0.529 0.752
0.655 0.971 0.252
0.752 0.201 0.550
0.752 0.299 0.050
0.856 0.705 0.551
0.856 0.795 0.051
```

Output
**ΔE_f (raw)**: -2.50 eV/atom

***

(6)
The following is a DFT calculation (GGA-PBEsol) of crystalline PrNdMg2 at its relaxed geometry.

The structure in POSCAR format:
```
PrNdMg2
1.0
0.000 3.846 3.846
3.846 0.000 3.846
3.846 3.846 0.000
Pr Nd Mg
1 1 2
direct
0.000 0.000 0.000
0.500 0.500 0.500
0.250 0.250 0.250
0.750 0.750 0.750
```

Output
**DFT formation energy**: -0.1077 eV/atom

***

no.,magnetic moment (μB per cell)
1,0.00
2,0.00
3,0.00
4,0.00
5,0.00
6,0.00